An optimized crystal structure of Co2IrRhO6, computed with PBE with a Hubbard U.

Output
* symmetry: R3
* raw total energy: -64.23 eV per cell
* density: 7.923 Mg/m³
* total magnetization: 0.400 μB/atom

Cell lengths 5.197, 5.197, 5.460 Å; angles 61.58, 61.58, 60.00 degrees
Site moments in Bohr magnetons follow the coordinates.
Fractional coordinates of all 10 atoms:
Co  0.522  0.522  0.433  2.57
Co  0.020  0.020  0.939  2.58
Ir  0.320  0.320  0.041  -0.66
Rh  0.819  0.819  0.543  -0.26
O  0.596  0.220  0.257  -0.04
O  0.220  0.926  0.257  -0.05
O  0.926  0.596  0.257  -0.05
O  0.419  0.714  0.763  -0.03
O  0.714  0.105  0.762  -0.03
O  0.105  0.419  0.763  -0.03